Record 1
Ac8Ni3Br3N: relaxed, GGA-PBE.

Space-group type: C2/m
Formation energy from raw total energies (eV per atom): -0.72

Geometry as extended XYZ:
```
15
Lattice="8.561 0.000 0.000 -4.281 7.290 0.020 0.000 -4.779 8.057" Properties=species:S:1:pos:R:3 pbc="T T T"
Ac 2.086 -1.192 2.444
Ac 6.476 -1.192 2.444
Ac 0.000 2.469 2.493
Ac 0.000 -0.238 5.518
Ac 4.281 0.042 5.584
Ac 2.195 3.704 5.633
Ac -2.195 3.704 5.633
Ac 4.281 2.750 2.559
Br -2.140 3.645 0.010
Br 0.000 0.000 0.000
Br 2.140 3.645 0.010
N 0.000 -2.389 4.029
Ni 4.281 -2.389 4.029
Ni 2.140 1.256 4.039
Ni -2.140 1.256 4.039
```

---

Record 2
TlFe2Hg: relaxed, GGA-PBE.

Formation enthalpy at 0 K (eV per atom): 0.655
Space-group type: R-3m

Geometry as extended XYZ:
```
4
Lattice="9.093 -0.006 -0.003 8.586 2.995 -0.003 8.586 1.452 2.619" Properties=species:S:1:pos:R:3 pbc="T T T"
Fe 26.240 4.436 2.610
Fe 13.157 2.224 1.309
Hg 6.566 1.110 0.653
Tl 19.698 3.330 1.959
```

---

Record 3
RbB3P: relaxed, GGA-PBE.

Formation enthalpy at 0 K (eV per atom): 0.100
Space-group type: P1

Geometry as extended XYZ:
```
10
Lattice="5.747 -0.001 0.000 -0.880 6.136 0.001 -2.371 -3.058 5.513" Properties=species:S:1:pos:R:3 pbc="T T T"
P 1.902 -0.026 1.247
P 3.895 4.567 1.836
B 1.042 3.266 1.828
B 2.774 3.017 1.951
B 0.033 4.555 1.846
B 3.345 1.484 1.987
B 1.609 1.845 1.563
B 3.763 -0.018 1.729
Rb -0.146 1.305 4.165
Rb 2.760 -1.331 4.782
```

---

Record 4
CsHgS: relaxed, GGA-PBE.

Space-group type: Pnma
Formation energy from raw total energies (eV per atom): -0.57

Geometry as extended XYZ:
```
12
Lattice="-4.477 -0.720 -2.486 -3.939 -0.698 7.298 -1.631 9.909 0.067" Properties=species:S:1:pos:R:3 pbc="T T T"
S -4.619 2.246 -0.401
S -3.606 7.488 1.637
S -6.441 1.003 3.242
S -5.429 6.245 5.279
Cs -2.923 0.883 2.320
Cs -5.266 2.802 5.984
Cs -4.781 5.689 -1.106
Cs -7.124 7.609 2.559
Hg -4.090 5.370 3.122
Hg -7.424 -0.284 5.385
Hg -2.624 8.775 -0.506
Hg -5.957 3.122 1.757
```

---

Record 5
CePr2ErS4: relaxed, GGA-PBE.

Space-group type: P2/m
Formation energy from raw total energies (eV per atom): -2.01

Geometry as extended XYZ:
```
8
Lattice="-0.734 -3.915 0.340 5.213 -0.576 4.618 -5.937 1.411 3.416" Properties=species:S:1:pos:R:3 pbc="T T T"
S -0.509 -1.767 2.059
S -3.238 0.933 3.745
S 2.515 -0.099 4.289
S -0.949 -1.314 6.315
Pr -0.362 0.417 4.017
Pr -3.335 -1.252 1.878
Ce 2.239 -2.246 2.479
Er 0.000 0.000 0.000
```

---

Record 6
Al4CrRe: relaxed, GGA-PBE.

Formation enthalpy at 0 K (eV per atom): 0.166
Space-group type: F-43m

Geometry as extended XYZ:
```
6
Lattice="0.000 3.542 3.542 3.542 0.000 3.542 3.542 3.542 0.000" Properties=species:S:1:pos:R:3 pbc="T T T"
Al 4.427 2.657 4.427
Al 2.657 4.427 4.427
Al 4.427 4.427 2.657
Al 2.657 2.657 2.657
Re 0.000 0.000 0.000
Cr 5.314 5.314 5.314
```

---

Record 7
NbPt6Au: relaxed, GGA-PBE.

Formation enthalpy at 0 K (eV per atom): -0.363
Space-group type: Cmmm

Geometry as extended XYZ:
```
32
Lattice="-3.614 -2.174 5.498 3.085 -5.435 -2.994 9.125 1.540 6.607" Properties=species:S:1:pos:R:3 pbc="T T T"
Pt 2.205 -4.736 5.464
Pt 4.563 0.770 3.304
Pt 6.123 -5.189 4.917
Pt 6.720 -4.012 8.702
Pt 0.218 -1.250 2.512
Pt 4.823 -1.833 8.318
Pt 4.172 -1.707 2.041
Pt 8.379 -4.819 6.600
Pt 4.692 -0.506 5.801
Pt 0.000 0.000 0.000
Pt -0.054 -5.155 3.798
Pt 1.605 -5.963 1.695
Pt 4.424 -4.362 7.070
Pt -0.264 -3.805 1.252
Pt 2.473 -0.880 4.195
Pt 8.219 -3.486 4.012
Pt 6.391 -1.333 3.648
Pt 3.774 -4.236 0.794
Pt 0.377 -2.583 5.099
Pt 3.904 -5.563 3.310
Pt 6.992 -0.106 7.417
Pt 4.298 -3.034 4.556
Pt 8.650 -0.914 5.314
Pt 1.876 -2.057 0.410
Nb 6.911 1.167 5.004
Nb 2.214 0.374 1.603
Nb 5.996 -3.861 2.403
Nb 2.600 -2.208 6.709
Au 1.376 -4.603 -0.827
Au -1.905 -3.006 3.331
Au 6.590 -2.648 6.215
Au 2.006 -3.421 2.896
```

---

Record 8
Tb2Pm3Er6: relaxed, GGA-PBE.

Formation enthalpy at 0 K (eV per atom): 0.200
Space-group type: C2/m

Geometry as extended XYZ:
```
11
Lattice="-2.601 -0.899 -5.478 -2.136 -5.556 -1.504 -11.015 2.412 2.515" Properties=species:S:1:pos:R:3 pbc="T T T"
Er -6.593 -3.918 -5.380
Er -3.432 0.386 -0.729
Er -9.159 -0.125 0.913
Er -5.013 -1.763 -3.053
Er -10.738 -2.280 -1.414
Er -10.183 1.127 -2.234
Pm -3.162 -4.328 -4.649
Pm -1.575 -2.127 -2.333
Pm 0.000 0.000 0.000
Tb -7.366 -2.651 -0.657
Tb -8.386 -1.392 -3.810
```